# 1
CrPdO2 | PBE with a Hubbard U | relaxed

Values from the calculation:
Excess energy over the best structure of this formula in the dataset = 1.128 eV/atom
Magnetic moment = 8.04 μB/cell
DOS(E_F) = 14.34 states/eV per cell

```
data_CrPdO2
_chemical_formula_sum 'Cr4 Pd4 O8'
_symmetry_space_group_name_H-M 'F m -3 m'
_symmetry_Int_Tables_number 225
_symmetry_space_group_name_Hall '-F 4 2 3'
_cell_length_a 5.574
_cell_length_b 5.574
_cell_length_c 5.574
_cell_angle_alpha 90.00
_cell_angle_beta 90.00
_cell_angle_gamma 90.00
loop_
_atom_site_label
_atom_site_fract_x
_atom_site_fract_y
_atom_site_fract_z
Cr1 0.000 0.000 0.000
Pd1 0.000 0.000 0.500
O1 0.250 0.250 0.250
```

# 2
CrPdO2 | PBE with a Hubbard U | relaxed

Values from the calculation:
Excess energy over the best structure of this formula in the dataset = 1.340 eV/atom
Magnetic moment = 2.50 μB/cell
DOS(E_F) = 7.76 states/eV per cell

```
data_CrPdO2
_chemical_formula_sum 'Cr3 Pd3 O6'
_symmetry_space_group_name_H-M 'R -3 m'
_symmetry_Int_Tables_number 166
_symmetry_space_group_name_Hall '-R 3 2"'
_cell_length_a 3.2262
_cell_length_b 3.2262
_cell_length_c 17.4689
_cell_angle_alpha 90.00
_cell_angle_beta 90.00
_cell_angle_gamma 120.00
loop_
_atom_site_label
_atom_site_fract_x
_atom_site_fract_y
_atom_site_fract_z
Cr1 0.0000 0.0000 0.0000
Pd1 0.0000 0.0000 0.5000
O1 0.0000 0.0000 0.1080
```

# 3
CrPdO2 | PBE with a Hubbard U | relaxed

Values from the calculation:
Excess energy over the best structure of this formula in the dataset = 0.448 eV/atom
Magnetic moment = 12.63 μB/cell
DOS(E_F) = 9.60 states/eV per cell

```
data_CrPdO2
_chemical_formula_sum 'Cr4 Pd4 O8'
_symmetry_space_group_name_H-M 'I 41/a m d'
_symmetry_Int_Tables_number 141
_cell_length_a 4.273
_cell_length_b 4.273
_cell_length_c 9.951
_cell_angle_alpha 90.00
_cell_angle_beta 90.00
_cell_angle_gamma 90.00
loop_
_symmetry_equiv_pos_as_xyz
'x,y,z'
'-x,-y,-z'
'-y+1/4,x+3/4,z+1/4'
'y+1/4,-x+3/4,-z+1/4'
'-x+1/2,-y,z+1/2'
'x+1/2,y,-z+1/2'
'y+1/4,-x+1/4,z+3/4'
'-y+1/4,x+1/4,-z+3/4'
'x,-y,-z'
'-x,y,z'
'-y+1/4,-x+1/4,-z+3/4'
'y+1/4,x+1/4,z+3/4'
'-x+1/2,y,-z+1/2'
'x+1/2,-y,z+1/2'
'y+1/4,x+3/4,-z+1/4'
'-y+1/4,-x+3/4,z+1/4'
'x+1/2,y+1/2,z+1/2'
'-x+1/2,-y+1/2,-z+1/2'
'-y+3/4,x+1/4,z+3/4'
'y+3/4,-x+1/4,-z+3/4'
'-x,-y+1/2,z'
'x,y+1/2,-z'
'y+3/4,-x+3/4,z+1/4'
'-y+3/4,x+3/4,-z+1/4'
'x+1/2,-y+1/2,-z+1/2'
'-x+1/2,y+1/2,z+1/2'
'-y+3/4,-x+3/4,-z+1/4'
'y+3/4,x+3/4,z+1/4'
'-x,y+1/2,-z'
'x,-y+1/2,z'
'y+3/4,x+1/4,-z+3/4'
'-y+3/4,-x+1/4,z+3/4'
loop_
_atom_site_label
_atom_site_fract_x
_atom_site_fract_y
_atom_site_fract_z
Cr1 0.000 0.250 0.375
Pd1 0.000 0.250 0.875
O1 0.000 0.250 0.166
```

# 4
CrPdO2 | PBE with a Hubbard U | relaxed

Values from the calculation:
Excess energy over the best structure of this formula in the dataset = 0.246 eV/atom
Magnetic moment = 2.83 μB/cell
DOS(E_F) = 2.20 states/eV per cell

```
data_CrPdO2
_chemical_formula_sum 'Cr1 Pd1 O2'
_symmetry_space_group_name_H-M 'P 3 m 1'
_symmetry_Int_Tables_number 156
_cell_length_a 2.9767
_cell_length_b 2.9767
_cell_length_c 6.1571
_cell_angle_alpha 90.00
_cell_angle_beta 90.00
_cell_angle_gamma 120.00
loop_
_symmetry_equiv_pos_as_xyz
'x,y,z'
'-y,x-y,z'
'-x+y,-x,z'
'-y,-x,z'
'-x+y,y,z'
'x,x-y,z'
loop_
_atom_site_label
_atom_site_fract_x
_atom_site_fract_y
_atom_site_fract_z
Cr1 0.0000 0.0000 0.0000
Pd1 0.3333 0.6667 0.5048
O1 0.3333 0.6667 0.8335
O2 0.6667 0.3333 0.1701
```

# 5
CrPdO2 | PBE with a Hubbard U | relaxed

Values from the calculation:
Excess energy over the best structure of this formula in the dataset = 0.000 eV/atom
Magnetic moment = 5.91 μB/cell
DOS(E_F) = 1.26 states/eV per cell

```
data_CrPdO2
_chemical_formula_sum 'Cr2 Pd2 O4'
_symmetry_space_group_name_H-M 'C 1 2/m 1'
_symmetry_Int_Tables_number 12
_cell_length_a 5.200
_cell_length_b 3.016
_cell_length_c 6.319
_cell_angle_alpha 90.00
_cell_angle_beta 105.96
_cell_angle_gamma 90.00
loop_
_symmetry_equiv_pos_as_xyz
'x,y,z'
'-x,-y,-z'
'-x,y,-z'
'x,-y,z'
'x+1/2,y+1/2,z'
'-x+1/2,-y+1/2,-z'
'-x+1/2,y+1/2,-z'
'x+1/2,-y+1/2,z'
loop_
_atom_site_label
_atom_site_fract_x
_atom_site_fract_y
_atom_site_fract_z
Cr1 0.000 0.000 0.000
Pd1 0.000 0.500 0.500
O1 0.111 0.500 0.834
```

# 6
CrPdO2 | PBE with a Hubbard U | relaxed

Values from the calculation:
Excess energy over the best structure of this formula in the dataset = 0.233 eV/atom
Magnetic moment = 11.66 μB/cell
DOS(E_F) = 4.32 states/eV per cell

```
data_CrPdO2
_chemical_formula_sum 'Cr4 Pd4 O8'
_symmetry_space_group_name_H-M 'P n m a'
_symmetry_Int_Tables_number 62
_cell_length_a 6.288
_cell_length_b 2.981
_cell_length_c 10.500
_cell_angle_alpha 90.00
_cell_angle_beta 90.00
_cell_angle_gamma 90.00
loop_
_symmetry_equiv_pos_as_xyz
'x,y,z'
'-x,-y,-z'
'-x+1/2,-y,z+1/2'
'x+1/2,y,-z+1/2'
'x+1/2,-y+1/2,-z+1/2'
'-x+1/2,y+1/2,z+1/2'
'-x,y+1/2,-z'
'x,-y+1/2,z'
loop_
_atom_site_label
_atom_site_fract_x
_atom_site_fract_y
_atom_site_fract_z
Cr1 0.068 0.250 0.119
Pd1 0.054 0.750 0.388
O1 0.132 0.250 0.935
O2 0.248 0.750 0.172
```